{
  "formula": "SmScIn4",
  "functional": "GGA-PBE",
  "state": "relaxed",
  "ef_ev_per_fu": -1.612,
  "space_group": "No. 216",
  "total_energy_ev_per_atom": -3.94,
  "total_magnetization_mub_per_cell": 0.00,
  "cell": [[0.0000, 4.2152, 4.2152], [4.2152, 0.0000, 4.2152], [4.2152, 4.2152, 0.0000]],
  "species": ["Sm", "Sc", "In", "In", "In", "In"],
  "frac_coords": [[0.0000, 0.0000, 0.0000], [0.7500, 0.7500, 0.7500], [0.3752, 0.3752, 0.3752], [0.3752, 0.3752, 0.8745], [0.3752, 0.8745, 0.3752], [0.8745, 0.3752, 0.3752]]
}